Entry 1:
PBE SmThHgRu, optimized geometry; DOS(E_F) = 3.35 states/eV per cell; formation enthalpy at 0 K = -0.24 eV per atom; spin magnetization = 0.000 Bohr magnetons per cell; E above lowest polymorph = 124.7 meV per atom; mass density = 11.53 g/cm3; symmetry = No. 216
1.0
0.000 3.665 3.665
3.665 0.000 3.665
3.665 3.665 0.000
Sm Th Hg Ru
1 1 1 1
direct
0.000 0.000 0.000 Sm
0.500 0.500 0.500 Th
0.750 0.750 0.750 Hg
0.250 0.250 0.250 Ru


Entry 2:
PBE SnHg2Ru4, optimized geometry; DOS(E_F) = 10.18 states/eV per cell; formation enthalpy at 0 K = 1.53 eV per atom; spin magnetization = 5.647 Bohr magnetons per cell; mass density = 9.58 g/cm3; symmetry = No. 139
1.0
-2.420 2.420 6.840
2.420 -2.420 6.840
2.420 2.420 -6.840
Sn Hg Ru
1 2 4
direct
0.000 0.000 0.000 Sn
0.384 0.384 0.000 Hg
0.616 0.616 0.000 Hg
0.000 0.500 0.500 Ru
0.188 0.188 0.000 Ru
0.500 0.000 0.500 Ru
0.812 0.812 0.000 Ru